First-principles (GGA-PBEsol) data for crystalline CeZn2Co at its relaxed geometry, as listed in the Alexandria database.

Calculated values
crystal system: orthorhombic
magnetization: 0.0 μB per formula unit
formation energy: -0.363 eV/atom

abc: 4.803 4.803 7.655
angles: 90.00 90.00 131.70
Fractional positions:
Ce1 0.052 0.948 0.750
Ce2 0.948 0.052 0.250
Zn1 0.346 0.654 0.539
Zn2 0.346 0.654 0.961
Zn3 0.654 0.346 0.039
Zn4 0.654 0.346 0.461
Co1 0.194 0.806 0.250
Co2 0.806 0.194 0.750

First-principles (GGA-PBEsol) data for crystalline Ce2ZrCo16 at its relaxed geometry, as listed in the Alexandria database.

Calculated values
crystal system: trigonal
magnetization: 17.9 μB per formula unit
formation energy: -0.097 eV/atom

abc: 8.234 8.234 8.060
angles: 90.00 90.00 120.00
Fractional positions:
Ce1 0.000 0.000 0.248
Ce2 0.000 0.000 0.752
Ce3 0.333 0.667 0.270
Ce4 0.667 0.333 0.730
Zr1 0.333 0.667 0.888
Zr2 0.667 0.333 0.112
Co1 0.000 0.500 0.000
Co2 0.000 0.500 0.500
Co3 0.037 0.364 0.749
Co4 0.037 0.673 0.749
Co5 0.163 0.325 0.028
Co6 0.163 0.837 0.028
Co7 0.166 0.332 0.485
Co8 0.166 0.834 0.485
Co9 0.325 0.163 0.972
Co10 0.327 0.364 0.749
Co11 0.327 0.963 0.749
Co12 0.332 0.166 0.515
Co13 0.333 0.667 0.591
Co14 0.364 0.037 0.251
Co15 0.364 0.327 0.251
Co16 0.500 0.000 0.000
Co17 0.500 0.000 0.500
Co18 0.500 0.500 0.000
Co19 0.500 0.500 0.500
Co20 0.636 0.673 0.749
Co21 0.636 0.963 0.749
Co22 0.667 0.333 0.409
Co23 0.668 0.834 0.485
Co24 0.673 0.037 0.251
Co25 0.673 0.636 0.251
Co26 0.675 0.837 0.028
Co27 0.834 0.166 0.515
Co28 0.834 0.668 0.515
Co29 0.837 0.163 0.972
Co30 0.837 0.675 0.972
Co31 0.963 0.327 0.251
Co32 0.963 0.636 0.251

- Which value of magnetization does entry 1 give?
  0.0 μB per formula unit

- What is the formula in the first record?
  CeZn2Co

- The highest magnetization belongs to which entry?
  Ce2ZrCo16